[1]
DFT (PBE) results for a relaxed structure of Rb2GeBSe4.

Cell lengths 6.1188, 14.1999, 23.9941 Å; angles 90.00, 90.00, 90.00 degrees
Space group Fddd (No. 70, origin choice 2)
Unique sites:
Rb: 0.1250 0.1250 0.3062 (multiplicity 16)
Ge: 0.1250 0.1250 0.6250 (multiplicity 8)
B: 0.1250 0.1250 0.1250 (multiplicity 8)
Se: 0.0739 0.2891 0.4255 (multiplicity 32)

Output
V = 2084.8 Å³/cell
Uncorrected energy = -3.994 eV/atom

[2]
DFT (PBE) results for a relaxed structure of YAl3Au.

Cell lengths 8.4334, 4.2378, 11.0009 Å; angles 90.00, 90.00, 90.00 degrees
Space group Pnma (No. 62)
Unique sites:
Y: 0.1815 0.2500 0.0073 (multiplicity 4)
Al: 0.0735 0.2500 0.5964 (multiplicity 4)
Al: 0.1057 0.7500 0.8057 (multiplicity 4)
Al: 0.1334 0.7500 0.2089 (multiplicity 4)
Au: 0.1023 0.2500 0.3607 (multiplicity 4)

Output
V = 393.2 Å³/cell
Calculated formation energy = -0.513 eV/atom
Polymorph energy (0 for the lowest one) = 77.4 meV/atom
Uncorrected energy = -4.707 eV/atom

[3]
DFT (PBE) results for a relaxed structure of BC2.

Cell lengths 2.6316, 2.6316, 14.0979 Å; angles 90.00, 90.00, 120.00 degrees
Space group P3m1 (No. 156)
Unique sites:
B: 0.0000 0.0000 0.0000 (multiplicity 1)
B: 0.0000 0.0000 0.2437 (multiplicity 1)
B: 0.0000 0.0000 0.5717 (multiplicity 1)
B: 0.3333 0.6667 0.3711 (multiplicity 1)
C: 0.0000 0.0000 0.6854 (multiplicity 1)
C: 0.3333 0.6667 0.2543 (multiplicity 1)
C: 0.3333 0.6667 0.7219 (multiplicity 1)
C: 0.3333 0.6667 0.8319 (multiplicity 1)
C: 0.6667 0.3333 0.4212 (multiplicity 1)
C: 0.6667 0.3333 0.5209 (multiplicity 1)
C: 0.6667 0.3333 0.8681 (multiplicity 1)
C: 0.6667 0.3333 0.9845 (multiplicity 1)

Output
V = 84.6 Å³/cell
Calculated formation energy = 0.276 eV/atom
Polymorph energy (0 for the lowest one) = 35.8 meV/atom
Uncorrected energy = -8.099 eV/atom

[4]
DFT (PBE) results for a relaxed structure of SiBiMo3.

Cell lengths 5.0342, 5.0342, 5.0342 Å; angles 90.00, 90.00, 90.00 degrees
Space group Pm-3m (No. 221)
Unique sites:
Si: 0.0000 0.0000 0.0000 (multiplicity 1)
Bi: 0.5000 0.5000 0.5000 (multiplicity 1)
Mo: 0.0000 0.5000 0.5000 (multiplicity 3)

Output
V = 127.6 Å³/cell
Polymorph energy (0 for the lowest one) = 1735.6 meV/atom
Uncorrected energy = -5.697 eV/atom

[5]
DFT (PBE) results for a relaxed structure of RbSnI5.

Cell lengths 18.1872, 9.5278, 12.0560 Å; angles 90.00, 130.33, 90.00 degrees
Space group C2/c (No. 15)
Unique sites:
Rb: 0.0000 0.0460 0.2500 (multiplicity 4)
Sn: 0.0000 0.5000 0.0000 (multiplicity 4)
I: 0.0000 0.4310 0.2500 (multiplicity 4)
I: 0.0808 0.2043 0.0481 (multiplicity 8)
I: 0.1877 0.3849 0.6998 (multiplicity 8)

Output
V = 1592.7 Å³/cell
Polymorph energy (0 for the lowest one) = 10.8 meV/atom
Uncorrected energy = -2.414 eV/atom

[6]
DFT (PBE) results for a relaxed structure of HfZn2Ge2.

Cell lengths 3.6787, 3.6787, 13.1444 Å; angles 90.00, 90.00, 90.00 degrees
Space group I4/mmm (No. 139)
Unique sites:
Hf: 0.0000 0.0000 0.0000 (multiplicity 2)
Zn: 0.0000 0.5000 0.2500 (multiplicity 4)
Ge: 0.0000 0.0000 0.3991 (multiplicity 4)

Output
V = 177.9 Å³/cell
Calculated formation energy = 0.006 eV/atom
Polymorph energy (0 for the lowest one) = 259.0 meV/atom
Uncorrected energy = -4.342 eV/atom

[7]
DFT (PBE) results for a relaxed structure of FeTcAs2.

Cell lengths 6.0412, 6.0412, 6.0412 Å; angles 90.00, 90.00, 90.00 degrees
Space group Fm-3m (No. 225)
Unique sites:
Fe: 0.0000 0.0000 0.0000 (multiplicity 4)
Tc: 0.0000 0.0000 0.5000 (multiplicity 4)
As: 0.2500 0.2500 0.2500 (multiplicity 8)

Output
V = 220.5 Å³/cell
Calculated formation energy = 0.066 eV/atom
Polymorph energy (0 for the lowest one) = 97.4 meV/atom
Uncorrected energy = -6.965 eV/atom

[8]
DFT (PBE) results for a relaxed structure of Ca2MgCd5.

Cell lengths 4.9108, 4.9108, 16.3637 Å; angles 90.00, 90.00, 90.00 degrees
Space group I4/mmm (No. 139)
Unique sites:
Ca: 0.0000 0.0000 0.2491 (multiplicity 4)
Mg: 0.0000 0.0000 0.5000 (multiplicity 2)
Cd: 0.0000 0.0000 0.0000 (multiplicity 2)
Cd: 0.0000 0.5000 0.1146 (multiplicity 8)

Output
V = 394.6 Å³/cell
Calculated formation energy = -0.220 eV/atom
Polymorph energy (0 for the lowest one) = 0.0 meV/atom
Uncorrected energy = -1.491 eV/atom

[9]
DFT (PBE) results for a relaxed structure of ZrW3.

Cell lengths 3.8643, 3.8643, 18.9728 Å; angles 90.00, 90.00, 90.00 degrees
Space group I4/mmm (No. 139)
Unique sites:
Zr: 0.0000 0.0000 0.1246 (multiplicity 4)
W: 0.0000 0.0000 0.3740 (multiplicity 4)
W: 0.0000 0.5000 0.0000 (multiplicity 4)
W: 0.0000 0.5000 0.2500 (multiplicity 4)

Output
V = 283.3 Å³/cell
Calculated formation energy = 0.391 eV/atom
Uncorrected energy = -11.461 eV/atom

[10]
DFT (PBE) results for a relaxed structure of Ca2Ac7Pr2.

Cell lengths 9.7347, 10.3702, 9.6451 Å; angles 90.00, 101.46, 90.00 degrees
Space group C2/m (No. 12)
Unique sites:
Ca: 0.0949 0.0000 0.3517 (multiplicity 4)
Ac: 0.0000 0.5000 0.5000 (multiplicity 2)
Ac: 0.1449 0.5000 0.9062 (multiplicity 4)
Ac: 0.2464 0.1841 0.7136 (multiplicity 8)
Pr: 0.0000 0.1696 0.0000 (multiplicity 4)

Output
V = 954.3 Å³/cell
Calculated formation energy = 0.119 eV/atom
Polymorph energy (0 for the lowest one) = 0.0 meV/atom
Uncorrected energy = -3.729 eV/atom

[11]
DFT (PBE) results for a relaxed structure of CdIr2Os.

Cell lengths 7.3179, 7.3179, 5.3838 Å; angles 90.00, 90.00, 90.00 degrees
Space group I-42d (No. 122)
Unique sites:
Cd: 0.0000 0.0000 0.0000 (multiplicity 4)
Ir: 0.2058 0.2500 0.6250 (multiplicity 8)
Os: 0.0000 0.0000 0.5000 (multiplicity 4)

Output
V = 288.3 Å³/cell
Calculated formation energy = 0.801 eV/atom
Uncorrected energy = -6.666 eV/atom

[12]
DFT (PBE) results for a relaxed structure of Ac3Si4Pd.

Cell lengths 4.8631, 5.8240, 15.5142 Å; angles 90.00, 90.00, 90.00 degrees
Space group Immm (No. 71)
Unique sites:
Ac: 0.0000 0.0000 0.0000 (multiplicity 2)
Ac: 0.0000 0.5000 0.1921 (multiplicity 4)
Si: 0.0000 0.2934 0.3857 (multiplicity 8)
Pd: 0.0000 0.0000 0.5000 (multiplicity 2)

Output
V = 439.4 Å³/cell
Uncorrected energy = -5.458 eV/atom

[13]
DFT (PBE) results for a relaxed structure of AcLaSm5Y2.

Cell lengths 5.6580, 24.1232, 9.5230 Å; angles 90.00, 90.00, 90.00 degrees
Space group Cmc2_1 (No. 36)
Unique sites:
Ac: 0.0000 0.1026 0.0000 (multiplicity 4)
La: 0.0000 0.2636 0.3895 (multiplicity 4)
Sm: 0.0000 0.0243 0.6779 (multiplicity 4)
Sm: 0.0000 0.1016 0.3962 (multiplicity 4)
Sm: 0.0000 0.1894 0.6964 (multiplicity 4)
Sm: 0.0000 0.2415 0.0666 (multiplicity 4)
Sm: 0.0000 0.4940 0.9011 (multiplicity 4)
Y: 0.0000 0.3314 0.7552 (multiplicity 4)
Y: 0.0000 0.3880 0.1395 (multiplicity 4)

Output
V = 1299.8 Å³/cell
Calculated formation energy = 0.140 eV/atom
Uncorrected energy = -4.922 eV/atom